(1)
A plane-wave DFT calculation with PBE was carried out for a relaxed structure of Pm2Sm7Dy4.

Calculated values
- Formation enthalpy at 0 K: 0.012 eV per atom

abc: 9.5492 14.8696 6.2338
angles: 82.20 95.99 150.60
With the nearest neighbours (Å) after each atom.
Fractional positions:
Sm  0.7693  0.2308  0.3857  3 Pm 3.59-3.62, 5 Sm 3.60-3.62, 4 Dy 3.61-3.62
Dy  0.0759  0.9234  0.5378  3 Dy 3.58-3.59, 8 Sm 3.59-3.62, 1 Pm 3.60
Sm  0.5380  0.4613  0.7687  5 Dy 3.59-3.61, 6 Sm 3.60-3.61, 1 Pm 3.61
Dy  0.3874  0.6166  0.6925  2 Dy 3.58-3.59, 7 Sm 3.59-3.62, 3 Pm 3.60-3.62
Pm  0.6909  0.3070  0.8457  7 Sm 3.59-3.62, 4 Dy 3.60-3.62, 1 Pm 3.62
Sm  0.2307  0.7692  0.6143  3 Pm 3.59-3.62, 5 Sm 3.60-3.62, 4 Dy 3.61-3.62
Sm  0.8476  0.1543  0.9242  7 Sm 3.60-3.62, 2 Pm 3.60-3.62, 3 Dy 3.60-3.61
Sm  0.4620  0.5387  0.2313  5 Dy 3.59-3.61, 6 Sm 3.60-3.61, 1 Pm 3.61
Sm  0.0000  0.0000  0.0000  6 Dy 3.59-3.60, 2 Pm 3.60, 4 Sm 3.60
Sm  0.1524  0.8457  0.0758  7 Sm 3.60-3.62, 2 Pm 3.60-3.62, 3 Dy 3.60-3.61
Dy  0.6126  0.3834  0.3075  2 Dy 3.58-3.59, 7 Sm 3.59-3.62, 3 Pm 3.60-3.62
Pm  0.3091  0.6930  0.1543  7 Sm 3.59-3.62, 4 Dy 3.60-3.62, 1 Pm 3.62
Dy  0.9241  0.0766  0.4622  3 Dy 3.58-3.59, 8 Sm 3.59-3.62, 1 Pm 3.60

(2)
A plane-wave DFT calculation with PBE was carried out for a relaxed structure of Pm4Sm8Dy.

Calculated values
- Formation enthalpy at 0 K: 0.188 eV per atom

abc: 7.4135 7.4134 10.3055
angles: 90.00 111.08 120.00
With the nearest neighbours (Å) after each atom.
Fractional positions:
Pm  0.0000  0.5000  0.0000  6 Sm 3.63-3.96, 6 Pm 3.71
Sm  0.5700  0.7850  0.3550  9 Sm 3.74-3.75, 3 Pm 3.96
Pm  0.5000  0.5000  0.0000  6 Sm 3.63-3.96, 6 Pm 3.71
Pm  0.0000  0.0000  0.0000  6 Sm 3.42, 6 Pm 3.71
Sm  0.0526  0.2495  0.3021  1 Dy 3.01, 2 Sm 3.31
Sm  0.9474  0.1969  0.6979  1 Dy 3.01, 2 Sm 3.31
Pm  0.5000  0.0000  0.0000  6 Sm 3.63-3.96, 6 Pm 3.71
Sm  0.0526  0.8031  0.3021  1 Dy 3.01, 2 Sm 3.31
Sm  0.5011  0.7505  0.6979  1 Dy 3.01, 2 Sm 3.31
Sm  0.9474  0.7505  0.6979  1 Dy 3.01, 2 Sm 3.31
Dy  0.0000  0.5000  0.5000  6 Sm 3.01
Sm  0.4989  0.2495  0.3021  1 Dy 3.01, 2 Sm 3.31
Sm  0.4300  0.2150  0.6450  9 Sm 3.74-3.75, 3 Pm 3.96

(3)
A plane-wave DFT calculation with PBE was carried out for a relaxed structure of Pm6SmDy4.

Calculated values
- Formation enthalpy at 0 K: 0.115 eV per atom

abc: 5.8760 5.6625 25.8234
angles: 90.00 90.00 121.26
With the nearest neighbours (Å) after each atom.
Fractional positions:
Sm  0.7823  0.5646  0.2500  3 Pm 3.28-3.33
Pm  0.5000  0.0000  0.0000  8 Dy 3.22-3.59
Dy  0.4510  0.9020  0.3768  6 Pm 3.22-3.57, 1 Dy 3.59
Dy  0.1476  0.2953  0.0435  8 Pm 3.46-3.77, 2 Dy 3.59-3.64
Dy  0.5490  0.0980  0.8768  6 Pm 3.22-3.57, 1 Dy 3.59
Sm  0.2177  0.4354  0.7500  3 Pm 3.28-3.33
Pm  0.2047  0.4094  0.8989  6 Dy 3.35-3.72, 1 Pm 3.74
Pm  0.7953  0.5906  0.3989  6 Dy 3.35-3.72, 1 Pm 3.74
Dy  0.8524  0.7047  0.9565  8 Pm 3.46-3.77, 2 Dy 3.59-3.64
Pm  0.1171  0.2342  0.3185  5 Pm 3.54-3.82, 4 Dy 3.57-3.67, 3 Sm 3.69-3.78
Pm  0.8829  0.7658  0.6815  5 Pm 3.54-3.82, 4 Dy 3.57-3.67, 3 Sm 3.69-3.78
Dy  0.5490  0.0980  0.6232  6 Pm 3.22-3.57, 1 Dy 3.59
Pm  0.2047  0.4094  0.6011  6 Dy 3.35-3.72, 1 Pm 3.74
Dy  0.4510  0.9020  0.1232  6 Pm 3.22-3.57, 1 Dy 3.59
Pm  0.1171  0.2342  0.1815  5 Pm 3.54-3.82, 4 Dy 3.57-3.67, 3 Sm 3.69-3.78
Pm  0.5000  0.0000  0.5000  8 Dy 3.22-3.59
Dy  0.1476  0.2953  0.4565  8 Pm 3.46-3.77, 2 Dy 3.59-3.64
Pm  0.8829  0.7658  0.8185  5 Pm 3.54-3.82, 4 Dy 3.57-3.67, 3 Sm 3.69-3.78
Pm  0.4431  0.8863  0.2500  2 Dy 3.28, 3 Sm 3.28-3.33, 2 Pm 3.62
Dy  0.8524  0.7047  0.5435  8 Pm 3.46-3.77, 2 Dy 3.59-3.64
Pm  0.7953  0.5906  0.1011  6 Dy 3.35-3.72, 1 Pm 3.74
Pm  0.5569  0.1137  0.7500  2 Dy 3.28, 3 Sm 3.28-3.33, 2 Pm 3.62

(4)
A plane-wave DFT calculation with PBE was carried out for a relaxed structure of Pm5Sm4Dy4.

Calculated values
- Formation enthalpy at 0 K: 0.014 eV per atom

abc: 5.0900 9.5639 9.5639
angles: 85.94 74.57 74.57
With the nearest neighbours (Å) after each atom.
Fractional positions:
Sm  0.6161  0.3071  0.4607  3 Pm 3.60-3.63, 4 Dy 3.60-3.61, 5 Sm 3.61-3.63
Pm  0.4607  0.2317  0.8469  5 Dy 3.59-3.62, 3 Sm 3.60-3.63, 4 Pm 3.61-3.62
Sm  0.3839  0.6929  0.5393  3 Pm 3.60-3.63, 4 Dy 3.60-3.61, 5 Sm 3.61-3.63
Pm  0.5393  0.7683  0.1531  5 Dy 3.59-3.62, 3 Sm 3.60-3.63, 4 Pm 3.61-3.62
Sm  0.0768  0.5393  0.3071  3 Pm 3.60-3.63, 4 Dy 3.60-3.61, 5 Sm 3.61-3.63
Pm  0.3076  0.1531  0.2317  5 Dy 3.59-3.62, 3 Sm 3.60-3.63, 4 Pm 3.61-3.62
Pm  0.6924  0.8469  0.7683  5 Dy 3.59-3.62, 3 Sm 3.60-3.63, 4 Pm 3.61-3.62
Dy  0.2316  0.6140  0.9229  6 Pm 3.59-3.63, 2 Dy 3.59, 4 Sm 3.60-3.61
Pm  0.0000  0.0000  0.0000  8 Pm 3.61, 4 Dy 3.63
Dy  0.8456  0.9229  0.3860  6 Pm 3.59-3.63, 2 Dy 3.59, 4 Sm 3.60-3.61
Dy  0.1544  0.0771  0.6140  6 Pm 3.59-3.63, 2 Dy 3.59, 4 Sm 3.60-3.61
Dy  0.7684  0.3860  0.0771  6 Pm 3.59-3.63, 2 Dy 3.59, 4 Sm 3.60-3.61
Sm  0.9232  0.4607  0.6929  3 Pm 3.60-3.63, 4 Dy 3.60-3.61, 5 Sm 3.61-3.63

(5)
A plane-wave DFT calculation with PBE was carried out for a relaxed structure of Pm7Sm2Dy2.

Calculated values
- Formation enthalpy at 0 K: 0.110 eV per atom

abc: 5.6839 8.2362 9.4772
angles: 115.76 107.45 90.00
With the nearest neighbours (Å) after each atom.
Fractional positions:
Dy  0.0000  0.6225  0.0000  4 Pm 3.25
Pm  0.6615  0.7852  0.3230  3 Dy 3.51-3.85, 7 Pm 3.57-3.78, 2 Sm 3.60
Pm  0.8669  0.1933  0.7338  3 Dy 3.25-3.56, 1 Pm 3.38, 3 Sm 3.49-3.60
Sm  0.2990  0.9191  0.5980  9 Pm 3.47-3.63, 1 Dy 3.70
Pm  0.8648  0.7811  0.7296  1 Dy 3.25, 3 Pm 3.38-3.58, 3 Sm 3.47-3.59
Pm  0.1331  0.4595  0.2662  3 Dy 3.25-3.56, 1 Pm 3.38, 3 Sm 3.49-3.60
Pm  0.3385  0.4622  0.6770  3 Dy 3.51-3.85, 7 Pm 3.57-3.78, 2 Sm 3.60
Sm  0.7010  0.3211  0.4020  9 Pm 3.47-3.63, 1 Dy 3.70
Pm  0.5000  0.9211  0.0000  3 Dy 3.43-3.76, 6 Pm 3.57-3.58, 2 Sm 3.63
Dy  0.5000  0.3372  0.0000  7 Pm 3.43-3.56, 2 Dy 3.69, 2 Sm 3.70
Pm  0.1352  0.0515  0.2704  1 Dy 3.25, 3 Pm 3.38-3.58, 3 Sm 3.47-3.59

(6)
A plane-wave DFT calculation with PBE was carried out for a relaxed structure of Pm2Sm5Dy6.

Calculated values
- Formation enthalpy at 0 K: 0.095 eV per atom

abc: 3.6026 11.7306 20.4946
angles: 90.00 90.00 90.00
With the nearest neighbours (Å) after each atom.
Fractional positions:
Dy  0.0000  0.5791  0.1328  1 Pm 3.37, 6 Sm 3.39-3.58, 4 Dy 3.51-3.60
Dy  0.5000  0.6778  0.8678  2 Sm 3.34-3.42, 6 Dy 3.51-3.73, 2 Pm 3.63
Dy  0.5000  0.3222  0.1322  2 Sm 3.34-3.42, 6 Dy 3.51-3.73, 2 Pm 3.63
Sm  0.5000  0.0000  0.5000  6 Dy 3.39-3.42, 4 Sm 3.60-3.67
Dy  0.0000  0.9209  0.6328  1 Pm 3.37, 6 Sm 3.39-3.58, 4 Dy 3.51-3.60
Dy  0.0000  0.4402  0.5790  6 Sm 3.49-3.61, 5 Dy 3.53-3.73, 1 Pm 3.87
Sm  0.5000  0.4132  0.7240  5 Dy 3.34-3.49, 4 Pm 3.53-3.59, 2 Sm 3.60
Dy  0.0000  0.0791  0.3672  1 Pm 3.37, 6 Sm 3.39-3.58, 4 Dy 3.51-3.60
Pm  0.0000  0.3288  0.2861  3 Dy 3.37-3.63, 4 Sm 3.53-3.59, 2 Pm 3.60
Sm  0.5000  0.3002  0.4494  6 Dy 3.58-3.61, 3 Sm 3.60-3.67, 2 Pm 3.81
Sm  0.5000  0.5868  0.2760  5 Dy 3.34-3.49, 4 Pm 3.53-3.59, 2 Sm 3.60
Dy  0.0000  0.0598  0.0790  6 Sm 3.49-3.61, 5 Dy 3.53-3.73, 1 Pm 3.87
Pm  0.0000  0.1712  0.7861  3 Dy 3.37-3.63, 4 Sm 3.53-3.59, 2 Pm 3.60
Dy  0.0000  0.9402  0.9210  6 Sm 3.49-3.61, 5 Dy 3.53-3.73, 1 Pm 3.87
Sm  0.5000  0.6998  0.5506  6 Dy 3.58-3.61, 3 Sm 3.60-3.67, 2 Pm 3.81
Dy  0.5000  0.1778  0.6322  2 Sm 3.34-3.42, 6 Dy 3.51-3.73, 2 Pm 3.63
Sm  0.5000  0.8002  0.0506  6 Dy 3.58-3.61, 3 Sm 3.60-3.67, 2 Pm 3.81
Dy  0.0000  0.4209  0.8672  1 Pm 3.37, 6 Sm 3.39-3.58, 4 Dy 3.51-3.60
Pm  0.0000  0.8288  0.2139  3 Dy 3.37-3.63, 4 Sm 3.53-3.59, 2 Pm 3.60
Sm  0.5000  0.1998  0.9494  6 Dy 3.58-3.61, 3 Sm 3.60-3.67, 2 Pm 3.81
Sm  0.5000  0.0868  0.2240  5 Dy 3.34-3.49, 4 Pm 3.53-3.59, 2 Sm 3.60
Dy  0.5000  0.8222  0.3678  2 Sm 3.34-3.42, 6 Dy 3.51-3.73, 2 Pm 3.63
Sm  0.5000  0.5000  0.0000  6 Dy 3.39-3.42, 4 Sm 3.60-3.67
Sm  0.5000  0.9132  0.7760  5 Dy 3.34-3.49, 4 Pm 3.53-3.59, 2 Sm 3.60
Dy  0.0000  0.5598  0.4210  6 Sm 3.49-3.61, 5 Dy 3.53-3.73, 1 Pm 3.87
Pm  0.0000  0.6712  0.7139  3 Dy 3.37-3.63, 4 Sm 3.53-3.59, 2 Pm 3.60

(7)
A plane-wave DFT calculation with PBE was carried out for a relaxed structure of PmSm4Dy2.

Calculated values
- Formation enthalpy at 0 K: 0.087 eV per atom

abc: 3.5683 5.7769 11.9805
angles: 103.97 98.56 90.00
With the nearest neighbours (Å) after each atom.
Fractional positions:
Sm  0.0874  0.5875  0.1748  2 Pm 3.52, 6 Sm 3.57-3.59, 2 Dy 3.64
Dy  0.7255  0.7254  0.4510  6 Sm 3.52-3.64, 6 Dy 3.57-3.58
Sm  0.6376  0.1376  0.2753  4 Dy 3.52-3.62, 6 Sm 3.57-3.59, 2 Pm 3.63
Sm  0.3624  0.8624  0.7247  4 Dy 3.52-3.62, 6 Sm 3.57-3.59, 2 Pm 3.63
Sm  0.9126  0.4125  0.8252  2 Pm 3.52, 6 Sm 3.57-3.59, 2 Dy 3.64
Pm  0.0000  0.0000  0.0000  8 Sm 3.52-3.63, 2 Pm 3.57
Dy  0.2745  0.2746  0.5490  6 Sm 3.52-3.64, 6 Dy 3.57-3.58

(8)
A plane-wave DFT calculation with PBE was carried out for a relaxed structure of Pm4Sm10Dy.

Calculated values
- Formation enthalpy at 0 K: 0.725 eV per atom

abc: 7.8211 9.5740 9.5740
angles: 80.40 65.89 65.89
With the nearest neighbours (Å) after each atom.
Fractional positions:
Sm  0.4478  0.8997  0.7017  1 Dy 3.37, 3 Pm 3.39
Pm  0.6005  0.1984  0.6006  8 Sm 3.39-3.40
Sm  0.0492  0.1003  0.2983  1 Dy 3.37, 3 Pm 3.39
Sm  0.6525  0.2983  0.8997  1 Dy 3.37, 3 Pm 3.39
Sm  0.8505  0.7017  0.1003  1 Dy 3.37, 3 Pm 3.39
Sm  0.1495  0.2983  0.8997  1 Dy 3.37, 3 Pm 3.39
Sm  0.3475  0.7017  0.1003  1 Dy 3.37, 3 Pm 3.39
Pm  0.3995  0.8016  0.3994  8 Sm 3.39-3.40
Sm  0.5522  0.1003  0.2983  1 Dy 3.37, 3 Pm 3.39
Sm  0.9508  0.8997  0.7017  1 Dy 3.37, 3 Pm 3.39
Dy  0.0000  0.0000  0.0000  8 Sm 3.37
Pm  0.7989  0.6006  0.8016  8 Sm 3.39-3.40
Sm  0.7500  0.5000  0.5000  4 Pm 3.40
Sm  0.2500  0.5000  0.5000  4 Pm 3.40
Pm  0.2011  0.3994  0.1984  8 Sm 3.39-3.40

(9)
A plane-wave DFT calculation with PBE was carried out for a relaxed structure of Pm7SmDy4.

Calculated values
- Formation enthalpy at 0 K: 0.210 eV per atom

abc: 5.9868 9.7627 8.6197
angles: 61.22 69.68 72.14
With the nearest neighbours (Å) after each atom.
Fractional positions:
Pm  0.7899  0.2337  0.1866  1 Sm 3.12, 2 Dy 3.22-3.28, 2 Pm 3.34-3.43
Pm  0.2137  0.1183  0.4544  6 Pm 3.34-3.68, 2 Dy 3.70
Dy  0.5723  0.3019  0.5536  2 Pm 3.28-3.52, 2 Dy 3.41-3.65
Pm  0.5000  0.0000  0.0000  2 Sm 2.99
Pm  0.9159  0.4467  0.7215  3 Pm 3.29-3.68, 3 Dy 3.46-3.55
Pm  0.7863  0.8817  0.5456  6 Pm 3.34-3.68, 2 Dy 3.70
Dy  0.3288  0.3869  0.9554  7 Pm 3.22-3.55
Pm  0.2101  0.7663  0.8134  1 Sm 3.12, 2 Dy 3.22-3.28, 2 Pm 3.34-3.43
Pm  0.0841  0.5533  0.2785  3 Pm 3.29-3.68, 3 Dy 3.46-3.55
Dy  0.4277  0.6981  0.4464  2 Pm 3.28-3.52, 2 Dy 3.41-3.65
Sm  0.0000  0.0000  0.0000  4 Pm 2.99-3.12
Dy  0.6712  0.6131  0.0446  7 Pm 3.22-3.55

Look up the formation enthalpy at 0 K of the first one. 0.012 eV per atom

Please write out number 9 again, unchanged.
A plane-wave DFT calculation with PBE was carried out for a relaxed structure of Pm7SmDy4.

Calculated values
- Formation enthalpy at 0 K: 0.210 eV per atom

abc: 5.9868 9.7627 8.6197
angles: 61.22 69.68 72.14
With the nearest neighbours (Å) after each atom.
Fractional positions:
Pm  0.7899  0.2337  0.1866  1 Sm 3.12, 2 Dy 3.22-3.28, 2 Pm 3.34-3.43
Pm  0.2137  0.1183  0.4544  6 Pm 3.34-3.68, 2 Dy 3.70
Dy  0.5723  0.3019  0.5536  2 Pm 3.28-3.52, 2 Dy 3.41-3.65
Pm  0.5000  0.0000  0.0000  2 Sm 2.99
Pm  0.9159  0.4467  0.7215  3 Pm 3.29-3.68, 3 Dy 3.46-3.55
Pm  0.7863  0.8817  0.5456  6 Pm 3.34-3.68, 2 Dy 3.70
Dy  0.3288  0.3869  0.9554  7 Pm 3.22-3.55
Pm  0.2101  0.7663  0.8134  1 Sm 3.12, 2 Dy 3.22-3.28, 2 Pm 3.34-3.43
Pm  0.0841  0.5533  0.2785  3 Pm 3.29-3.68, 3 Dy 3.46-3.55
Dy  0.4277  0.6981  0.4464  2 Pm 3.28-3.52, 2 Dy 3.41-3.65
Sm  0.0000  0.0000  0.0000  4 Pm 2.99-3.12
Dy  0.6712  0.6131  0.0446  7 Pm 3.22-3.55